(1)
# TaMo7 SCAN PBEsol geometry
# Final energy: -311.35 eV/f.u.
# Mass density: 11.394 g/cm³
# Polymorph energy (0 for the lowest one): 0.003 eV/atom
# Energy of formation: -0.071 eV per atom
data_TaMo7
_cell_length_a 3.144
_cell_length_b 4.443
_cell_length_c 17.790
_cell_angle_alpha 90.00
_cell_angle_beta 90.00
_cell_angle_gamma 90.00
_space_group_name_H-M_alt 'I m m m'
_space_group_IT_number 71
_space_group_name_Hall '-I 2 2'
loop_
_atom_site_label
_atom_site_type_symbol
_atom_site_fract_x
_atom_site_fract_y
_atom_site_fract_z
Ta1 Ta 0.000 0.000 0.000
Mo1 Mo 0.000 0.000 0.250
Mo2 Mo 0.000 0.000 0.500
Mo3 Mo 0.000 0.500 0.125
Mo4 Mo 0.000 0.500 0.372

---

(2)
# Ta2TcMo SCAN PBEsol geometry
# Final energy: -203.58 eV/f.u.
# Mass density: 14.341 g/cm³
# Polymorph energy (0 for the lowest one): 0.290 eV/atom
# Energy of formation: -0.118 eV per atom
data_Ta2TcMo
_cell_length_a 3.176
_cell_length_b 4.577
_cell_length_c 8.857
_cell_angle_alpha 90.00
_cell_angle_beta 90.00
_cell_angle_gamma 90.00
_space_group_name_H-M_alt 'C m m 2'
_space_group_IT_number 35
_space_group_name_Hall 'C 2 -2'
loop_
_atom_site_label
_atom_site_type_symbol
_atom_site_fract_x
_atom_site_fract_y
_atom_site_fract_z
Ta1 Ta 0.000 0.000 0.000
Ta2 Ta 0.000 0.500 0.268
Tc1 Tc 0.000 0.500 0.757
Mo1 Mo 0.000 0.000 0.521

---

(3)
# Ta2TcMo SCAN PBEsol geometry
# Final energy: -204.06 eV/f.u.
# Mass density: 14.414 g/cm³
# Polymorph energy (0 for the lowest one): 0.171 eV/atom
# Energy of formation: -0.237 eV per atom
data_Ta2TcMo
_cell_length_a 3.179
_cell_length_b 4.395
_cell_length_c 4.584
_cell_angle_alpha 90.00
_cell_angle_beta 90.00
_cell_angle_gamma 90.00
_space_group_name_H-M_alt 'P m m m'
_space_group_IT_number 47
_space_group_name_Hall '-P 2 2'
loop_
_atom_site_label
_atom_site_type_symbol
_atom_site_fract_x
_atom_site_fract_y
_atom_site_fract_z
Ta1 Ta 0.000 0.000 0.000
Ta2 Ta 0.500 0.000 0.500
Tc1 Tc 0.000 0.500 0.500
Mo1 Mo 0.500 0.500 0.000

---

(4)
# Ta2TcMo SCAN PBEsol geometry
# Final energy: -204.75 eV/f.u.
# Mass density: 14.470 g/cm³
# Polymorph energy (0 for the lowest one): 0.000 eV/atom
# Energy of formation: -0.409 eV per atom
data_Ta2TcMo
_cell_length_a 6.343
_cell_length_b 6.343
_cell_length_c 6.343
_cell_angle_alpha 90.00
_cell_angle_beta 90.00
_cell_angle_gamma 90.00
_space_group_name_H-M_alt 'F m -3 m'
_space_group_IT_number 225
_space_group_name_Hall '-F 4 2 3'
loop_
_atom_site_label
_atom_site_type_symbol
_atom_site_fract_x
_atom_site_fract_y
_atom_site_fract_z
Ta1 Ta 0.250 0.250 0.250
Tc1 Tc 0.000 0.000 0.000
Mo1 Mo 0.000 0.000 0.500

---

(5)
# Ta2TcMo SCAN PBEsol geometry
# Final energy: -204.43 eV/f.u.
# Mass density: 14.408 g/cm³
# Polymorph energy (0 for the lowest one): 0.078 eV/atom
# Energy of formation: -0.331 eV per atom
data_Ta2TcMo
_cell_length_a 3.168
_cell_length_b 4.452
_cell_length_c 9.085
_cell_angle_alpha 90.00
_cell_angle_beta 90.00
_cell_angle_gamma 90.00
_space_group_name_H-M_alt 'I m m 2'
_space_group_IT_number 44
_space_group_name_Hall 'I 2 -2'
loop_
_atom_site_label
_atom_site_type_symbol
_atom_site_fract_x
_atom_site_fract_y
_atom_site_fract_z
Ta1 Ta 0.000 0.000 0.000
Ta2 Ta 0.000 0.500 0.241
Tc1 Tc 0.000 0.000 0.494
Mo1 Mo 0.000 0.500 0.749

---

(6)
# Ta2TcMo SCAN PBEsol geometry
# Final energy: -204.73 eV/f.u.
# Mass density: 14.439 g/cm³
# Polymorph energy (0 for the lowest one): 0.003 eV/atom
# Energy of formation: -0.406 eV per atom
data_Ta2TcMo
_cell_length_a 3.170
_cell_length_b 3.170
_cell_length_c 6.359
_cell_angle_alpha 90.00
_cell_angle_beta 90.00
_cell_angle_gamma 90.00
_space_group_name_H-M_alt 'P 4/m m m'
_space_group_IT_number 123
_space_group_name_Hall '-P 4 2'
loop_
_atom_site_label
_atom_site_type_symbol
_atom_site_fract_x
_atom_site_fract_y
_atom_site_fract_z
Ta1 Ta 0.000 0.000 0.248
Tc1 Tc 0.500 0.500 0.000
Mo1 Mo 0.500 0.500 0.500

---

(7)
# Ta2TcMo SCAN PBEsol geometry
# Final energy: -204.01 eV/f.u.
# Mass density: 14.411 g/cm³
# Polymorph energy (0 for the lowest one): 0.183 eV/atom
# Energy of formation: -0.225 eV per atom
data_Ta2TcMo
_cell_length_a 2.795
_cell_length_b 4.393
_cell_length_c 5.283
_cell_angle_alpha 90.00
_cell_angle_beta 99.11
_cell_angle_gamma 90.00
_space_group_name_H-M_alt 'P 1 2/m 1'
_space_group_IT_number 10
_space_group_name_Hall '-P 2y'
loop_
_atom_site_label
_atom_site_type_symbol
_atom_site_fract_x
_atom_site_fract_y
_atom_site_fract_z
Ta1 Ta 0.250 0.000 0.249
Tc1 Tc 0.500 0.500 0.000
Mo1 Mo 0.000 0.500 0.500

---

(8)
# Ta2TeMo SCAN PBEsol geometry
# E_form (uncorrected): 0.281 eV/atom
# Final energy: -204.18 eV/f.u.
# Mass density: 13.704 g/cm³
data_Ta2TeMo
_cell_length_a 4.572
_cell_length_b 4.572
_cell_length_c 3.393
_cell_angle_alpha 90.00
_cell_angle_beta 90.00
_cell_angle_gamma 90.00
_space_group_name_H-M_alt 'P 4/m m m'
_space_group_IT_number 123
_space_group_name_Hall '-P 4 2'
loop_
_atom_site_label
_atom_site_type_symbol
_atom_site_fract_x
_atom_site_fract_y
_atom_site_fract_z
Ta1 Ta 0.000 0.500 0.000
Te1 Te 0.000 0.000 0.500
Mo1 Mo 0.500 0.500 0.500